A relaxed Rb2NaGaBr6 crystal. Source: the Alexandria database, functional PBEsol.

The space group is Fm-3m (No. 225) and the conventional cell measures 10.739, 10.739 and 10.739 Å, with angles of 90.00, 90.00 and 90.00 degrees. The inequivalent atoms are Rb at (0.250, 0.250, 0.250), Na at (0.000, 0.000, 0.000), Ga at (0.000, 0.000, 0.500) and Br at (0.000, 0.000, 0.265).

The value obtained for the magnetic moment is 0.0 μB per cell. Its uncorrected formation energy is -1254 kJ/mol of formula units.

---

A relaxed AsPOsO2 crystal. Source: the Alexandria database, functional PBEsol.

The space group is P4/mmm (No. 123) and the conventional cell measures 3.717, 3.717 and 5.225 Å, with angles of 90.00, 90.00 and 90.00 degrees. The inequivalent atoms are As at (0.000, 0.000, 0.000), P at (0.500, 0.500, 0.000), Os at (0.500, 0.500, 0.500) and O at (0.000, 0.500, 0.500).

The value obtained for the magnetic moment is 0.9 μB per cell. Its uncorrected formation energy is -112 kJ/mol of formula units.

---

A relaxed Dy3CrS6 crystal. Source: the Alexandria database, functional PBEsol.

The space group is Pnnm (No. 58) and the conventional cell measures 13.097, 15.639 and 3.720 Å, with angles of 90.00, 90.00 and 90.00 degrees. The inequivalent atoms are Dy at (0.053, 0.221, 0.000), Dy at (0.179, 0.648, 0.000), Dy at (0.240, 0.904, 0.500), Cr at (0.000, 0.000, 0.500), Cr at (0.000, 0.500, 0.500), S at (0.025, 0.403, 0.000), S at (0.080, 0.925, 0.000), S at (0.101, 0.755, 0.500), S at (0.123, 0.106, 0.500), S at (0.180, 0.520, 0.500) and S at (0.190, 0.290, 0.500).

The value obtained for the magnetic moment is 12.0 μB per cell. Its uncorrected formation energy is -1731 kJ/mol of formula units.

---

A relaxed Tb3Ge3Ru2 crystal. Source: the Alexandria database, functional PBEsol.

The space group is Cmcm (No. 63) and the conventional cell measures 4.217, 10.748 and 13.809 Å, with angles of 90.00, 90.00 and 90.00 degrees. The inequivalent atoms are Tb at (0.000, 0.078, 0.113), Tb at (0.000, 0.355, 0.250), Ge at (0.000, 0.334, 0.750), Ge at (0.000, 0.384, 0.041) and Ru at (0.000, 0.215, 0.582).

The value obtained for the magnetic moment is 0.0 μB per cell. Its energy relative to the elements is -0.788 eV/atom.

---

A relaxed ZnAgOs2Cl crystal. Source: the Alexandria database, functional PBEsol.

The space group is P4/mmm (No. 123) and the conventional cell measures 4.927, 4.927 and 4.564 Å, with angles of 90.00, 90.00 and 90.00 degrees. The inequivalent atoms are Zn at (0.000, 0.000, 0.000), Ag at (0.500, 0.500, 0.500), Os at (0.000, 0.500, 0.500) and Cl at (0.500, 0.500, 0.000).

The value obtained for the magnetic moment is 4.5 μB per cell. Its uncorrected formation energy is 1221 kJ/mol of formula units.

---

A relaxed TaSiBi3 crystal. Source: the Alexandria database, functional PBEsol.

The space group is Pm-3m (No. 221) and the conventional cell measures 5.407, 5.407 and 5.407 Å, with angles of 90.00, 90.00 and 90.00 degrees. The inequivalent atoms are Ta at (0.000, 0.000, 0.000), Si at (0.500, 0.500, 0.500) and Bi at (0.000, 0.000, 0.500).

The value obtained for the magnetic moment is 0.0 μB per cell. Its uncorrected formation energy is 467 kJ/mol of formula units.

---

Question: magnetic moment of number 2 (AsPOsO2)?
Answer: 0.9 μB per cell

---

What did the first record say?
A relaxed Rb2NaGaBr6 crystal. Source: the Alexandria database, functional PBEsol.

The space group is Fm-3m (No. 225) and the conventional cell measures 10.739, 10.739 and 10.739 Å, with angles of 90.00, 90.00 and 90.00 degrees. The inequivalent atoms are Rb at (0.250, 0.250, 0.250), Na at (0.000, 0.000, 0.000), Ga at (0.000, 0.000, 0.500) and Br at (0.000, 0.000, 0.265).

The value obtained for the magnetic moment is 0.0 μB per cell. Its uncorrected formation energy is -1254 kJ/mol of formula units.

---

Question: The highest magnetic moment belongs to which entry?
Answer: Dy3CrS6